# 1
A geometry-optimized Ti7ZnPt4 structure. Source: Alexandria, functional PBE-GGA.

Computed properties:
- Energy of formation: -0.392 eV/atom
- Magnetic moment: 0.0 μB per formula unit
- Mass density: 9.19 g/cm3

Lattice parameters (Å, degrees): 6.450 6.450 9.406 124.77 124.77 43.74
Fractional positions:
1 Ti 0.000 0.000 0.000
2 Ti 0.156 0.156 0.599
3 Ti 0.301 0.301 0.137
4 Ti 0.412 0.412 0.663
5 Ti 0.588 0.588 0.337
6 Ti 0.699 0.699 0.863
7 Ti 0.844 0.844 0.401
8 Zn 0.500 0.500 0.000
9 Pt 0.067 0.067 0.784
10 Pt 0.216 0.216 0.329
11 Pt 0.784 0.784 0.671
12 Pt 0.933 0.933 0.216

***

# 2
A geometry-optimized Na3NbBi structure. Source: Alexandria, functional PBE-GGA.

Computed properties:
- E above lowest polymorph: 0.000 eV per atom
- Energy of formation: 0.976 eV/atom
- Magnetic moment: 4.9 μB per formula unit
- Mass density: 3.03 g/cm3

Lattice parameters (Å, degrees): 5.883 5.883 5.883 90.00 90.00 90.00
Fractional positions:
1 Na 0.000 0.000 0.500
2 Na 0.000 0.500 0.000
3 Na 0.500 0.000 0.000
4 Nb 0.500 0.500 0.500
5 Bi 0.000 0.000 0.000

***

# 3
A geometry-optimized Ac2Hg5 structure. Source: Alexandria, functional PBE-GGA.

Computed properties:
- Energy of formation: -0.428 eV/atom
- Magnetic moment: 0.0 μB per formula unit
- Mass density: 11.77 g/cm3

Lattice parameters (Å, degrees): 9.052 9.052 9.052 128.76 71.76 133.39
Fractional positions:
1 Ac 0.112 0.197 0.309
2 Ac 0.388 0.697 0.084
3 Ac 0.612 0.303 0.916
4 Ac 0.888 0.803 0.691
5 Hg 0.024 0.750 0.274
6 Hg 0.118 0.772 0.890
7 Hg 0.250 0.750 0.500
8 Hg 0.382 0.272 0.654
9 Hg 0.476 0.750 0.726
10 Hg 0.524 0.250 0.274
11 Hg 0.618 0.728 0.346
12 Hg 0.750 0.250 0.500
13 Hg 0.882 0.228 0.110
14 Hg 0.976 0.250 0.726

***

# 4
A geometry-optimized FeCuSi2 structure. Source: Alexandria, functional PBE-GGA.

Computed properties:
- Formation energy without anion corrections: -98 meV/atom
- Magnetic moment: 0.9 μB per formula unit
- Mass density: 6.11 g/cm3

Lattice parameters (Å, degrees): 4.375 4.375 4.002 104.92 104.92 40.39
Fractional positions:
1 Fe 0.000 0.000 0.000
2 Cu 0.231 0.231 0.624
3 Si 0.486 0.486 0.466
4 Si 0.728 0.728 0.109